Entry 1:
# Nd3Sm4Tl2

An optimized crystal structure of Nd3Sm4Tl2 (GGA-PBE, Alexandria via LeMat-Bulk).

Cell lengths 6.606, 9.537, 9.537 Å; angles 92.50, 86.07, 86.07 degrees
Fractional coordinates of all 18 atoms:
Tl 0.459 0.778 0.631
Tl 0.959 0.631 0.778
Tl 0.041 0.369 0.222
Tl 0.541 0.222 0.369
Nd 0.750 0.469 0.531
Nd 0.903 0.048 0.178
Nd 0.097 0.952 0.822
Nd 0.403 0.178 0.048
Nd 0.597 0.822 0.952
Nd 0.250 0.531 0.469
Sm 0.418 0.893 0.318
Sm 0.585 0.522 0.175
Sm 0.582 0.107 0.682
Sm 0.915 0.825 0.478
Sm 0.415 0.478 0.825
Sm 0.082 0.682 0.107
Sm 0.918 0.318 0.893
Sm 0.085 0.175 0.522

uncorrected energy = -4.30 eV/atom
magnetization = 0.00 μB/f.u.

Entry 2:
# CuSBr

An optimized crystal structure of CuSBr (GGA-PBE, Alexandria via LeMat-Bulk).

Cell lengths 3.867, 6.984, 9.798 Å; angles 90.00, 90.00, 90.00 degrees
Fractional coordinates of all 12 atoms:
Br 0.502 0.179 0.250
Br 0.498 0.679 0.750
Br 0.498 0.679 0.250
Br 0.502 0.179 0.750
Cu 0.248 0.797 0.500
Cu 0.752 0.297 0.500
Cu 0.751 0.794 0.000
Cu 0.249 0.294 0.000
S 0.248 0.620 0.000
S 0.751 0.623 0.500
S 0.752 0.120 0.000
S 0.249 0.123 0.500

magnetization = 0.00 μB/f.u.
ΔE to the lowest computed polymorph = 218 meV per atom

> Number 2 is which compound?

CuSBr